Entry 1:
Material: V2B2Mo
Method: DFT, PBE-GGA
State: relaxed

Cell lengths 5.855, 5.855, 3.059 Å; angles 90.00, 90.00, 90.00 degrees
Sites, in units of the cell vectors:
1 B 0.891 0.609 0.000
2 B 0.609 0.109 0.000
3 B 0.391 0.891 0.000
4 B 0.109 0.391 0.000
5 V 0.676 0.824 0.500
6 V 0.824 0.324 0.500
7 V 0.176 0.676 0.500
8 V 0.324 0.176 0.500
9 Mo 0.000 0.000 0.000
10 Mo 0.500 0.500 0.000

Output
Magnetization: 0.0 μB per formula unit
Polymorph energy (0 for the lowest one): 0.000 eV per atom
Energy relative to the elements: -0.627 eV/atom
Total energy: -9.111 eV/atom

Entry 2:
Material: VBMo
Method: DFT, PBE-GGA
State: relaxed

Cell lengths 3.115, 3.068, 7.367 Å; angles 90.00, 102.21, 90.00 degrees
Sites, in units of the cell vectors:
1 V 0.202 0.250 0.403
2 V 0.798 0.750 0.597
3 Mo 0.412 0.250 0.823
4 Mo 0.588 0.750 0.177
5 B 0.035 0.250 0.071
6 B 0.965 0.750 0.929

Output
Magnetization: 0.0 μB per formula unit
Energy relative to the elements: -0.476 eV/atom
Total energy: -9.352 eV/atom

Entry 3:
Material: V4B4Mo
Method: DFT, PBE-GGA
State: relaxed

Cell lengths 4.299, 6.732, 6.732 Å; angles 90.00, 90.00, 90.00 degrees
Sites, in units of the cell vectors:
1 V 0.367 0.681 0.092
2 V 0.867 0.592 0.819
3 V 0.133 0.819 0.408
4 V 0.367 0.319 0.908
5 V 0.867 0.408 0.181
6 V 0.133 0.181 0.592
7 V 0.633 0.908 0.681
8 V 0.633 0.092 0.319
9 B 0.861 0.275 0.859
10 B 0.139 0.859 0.725
11 B 0.361 0.641 0.775
12 B 0.861 0.725 0.141
13 B 0.639 0.225 0.641
14 B 0.639 0.775 0.359
15 B 0.139 0.141 0.275
16 B 0.361 0.359 0.225
17 Mo 0.000 0.000 0.000
18 Mo 0.500 0.500 0.500

Output
Magnetization: 0.0 μB per formula unit
Energy relative to the elements: -0.231 eV/atom
Total energy: -8.455 eV/atom

Entry 4:
Material: VBMo2
Method: DFT, PBE-GGA
State: relaxed

Cell lengths 7.173, 7.173, 5.523 Å; angles 49.50, 49.50, 90.00 degrees
Sites, in units of the cell vectors:
1 V 0.750 0.250 0.500
2 V 0.000 0.000 0.000
3 Mo 0.875 0.774 0.750
4 Mo 0.226 0.625 0.250
5 Mo 0.375 0.476 0.750
6 Mo 0.524 0.125 0.250
7 B 0.500 0.500 0.000
8 B 0.250 0.750 0.500

Output
Magnetization: 0.0 μB per formula unit
Energy relative to the elements: 0.209 eV/atom
Total energy: -9.156 eV/atom

Entry 5:
Material: V2B2Mo
Method: DFT, PBE-GGA
State: relaxed

Cell lengths 4.565, 4.853, 6.098 Å; angles 113.45, 90.00, 90.00 degrees
Sites, in units of the cell vectors:
1 V 0.750 0.797 0.595
2 V 0.250 0.203 0.405
3 V 0.750 0.420 0.839
4 V 0.250 0.580 0.161
5 B 0.250 0.561 0.774
6 B 0.250 0.213 0.774
7 B 0.750 0.439 0.226
8 B 0.750 0.787 0.226
9 Mo 0.000 0.000 0.000
10 Mo 0.500 0.000 0.000

Output
Magnetization: 0.0 μB per formula unit
Polymorph energy (0 for the lowest one): 0.853 eV per atom
Energy relative to the elements: 0.227 eV/atom
Total energy: -8.258 eV/atom

Entry 6:
Material: VB2Mo2
Method: DFT, PBE-GGA
State: relaxed

Cell lengths 5.910, 5.910, 3.133 Å; angles 90.00, 90.00, 90.00 degrees
Sites, in units of the cell vectors:
1 V 0.000 0.000 0.000
2 V 0.500 0.500 0.000
3 B 0.387 0.887 0.000
4 B 0.113 0.387 0.000
5 B 0.613 0.113 0.000
6 B 0.887 0.613 0.000
7 Mo 0.678 0.822 0.500
8 Mo 0.822 0.322 0.500
9 Mo 0.322 0.178 0.500
10 Mo 0.178 0.678 0.500

Output
Magnetization: 0.0 μB per formula unit
Polymorph energy (0 for the lowest one): 0.000 eV per atom
Energy relative to the elements: -0.573 eV/atom
Total energy: -9.400 eV/atom

Entry 7:
Material: VB2Mo2
Method: DFT, PBE-GGA
State: relaxed

Cell lengths 3.131, 3.088, 5.922 Å; angles 105.11, 90.00, 90.00 degrees
Sites, in units of the cell vectors:
1 Mo 0.500 0.639 0.277
2 Mo 0.500 0.361 0.723
3 B 0.000 0.794 0.589
4 B 0.000 0.206 0.411
5 V 0.000 0.000 0.000

Output
Magnetization: 0.0 μB per formula unit
Polymorph energy (0 for the lowest one): 0.064 eV per atom
Energy relative to the elements: -0.509 eV/atom
Total energy: -9.336 eV/atom

Entry 8:
Material: VBMo
Method: DFT, PBE-GGA
State: relaxed

Cell lengths 2.594, 4.038, 4.038 Å; angles 120.00, 90.00, 90.00 degrees
Sites, in units of the cell vectors:
1 B 0.004 0.000 0.000
2 V 0.314 0.667 0.333
3 Mo 0.682 0.333 0.667

Output
Magnetization: 0.0 μB per formula unit
Energy relative to the elements: 0.376 eV/atom
Total energy: -8.500 eV/atom

Entry 9:
Material: VB2Mo4
Method: DFT, PBE-GGA
State: relaxed

Cell lengths 4.126, 4.126, 6.832 Å; angles 72.43, 72.43, 60.00 degrees
Sites, in units of the cell vectors:
1 V 0.000 0.000 0.000
2 Mo 0.614 0.614 0.158
3 Mo 0.386 0.386 0.842
4 Mo 0.777 0.777 0.668
5 Mo 0.223 0.223 0.332
6 B 0.109 0.109 0.672
7 B 0.891 0.891 0.328

Output
Magnetization: 0.0 μB per formula unit
Energy relative to the elements: 0.141 eV/atom
Total energy: -9.258 eV/atom

Entry 10:
Material: VBMo
Method: DFT, PBE-GGA
State: relaxed

Cell lengths 2.679, 2.679, 5.311 Å; angles 104.61, 104.61, 90.00 degrees
Sites, in units of the cell vectors:
1 V 0.303 0.303 0.606
2 Mo 0.027 0.027 0.055
3 B 0.670 0.670 0.340

Output
Magnetization: 0.0 μB per formula unit
Energy relative to the elements: 0.090 eV/atom
Total energy: -8.786 eV/atom

Entry 11:
Material: B2MoW
Method: DFT, PBE-GGA
State: relaxed

Cell lengths 3.952, 3.952, 3.952 Å; angles 60.00, 60.00, 60.00 degrees
Sites, in units of the cell vectors:
1 W 0.500 0.500 0.500
2 B 0.250 0.250 0.250
3 B 0.750 0.750 0.750
4 Mo 0.000 0.000 0.000

Output
Magnetization: 0.0 μB per formula unit
Polymorph energy (0 for the lowest one): 0.708 eV per atom
Energy relative to the elements: 0.290 eV/atom
Total energy: -8.995 eV/atom

Entry 12:
Material: BMoW2
Method: DFT, PBE-GGA
State: relaxed

Cell lengths 7.217, 7.217, 5.585 Å; angles 49.75, 49.75, 90.00 degrees
Sites, in units of the cell vectors:
1 W 0.523 0.125 0.250
2 W 0.875 0.773 0.750
3 W 0.375 0.477 0.750
4 W 0.227 0.625 0.250
5 B 0.500 0.500 0.000
6 B 0.250 0.750 0.500
7 Mo 0.000 0.000 0.000
8 Mo 0.750 0.250 0.500

Output
Magnetization: 0.0 μB per formula unit
Energy relative to the elements: 0.340 eV/atom
Total energy: -10.514 eV/atom

Entry 13:
Material: BMoW3
Method: DFT, PBE-GGA
State: relaxed

Cell lengths 4.715, 4.715, 4.715 Å; angles 90.00, 90.00, 90.00 degrees
Sites, in units of the cell vectors:
1 W 0.000 0.000 0.500
2 W 0.500 0.000 0.000
3 W 0.000 0.500 0.000
4 Mo 0.000 0.000 0.000
5 B 0.500 0.500 0.500

Output
Magnetization: 0.0 μB per formula unit
Polymorph energy (0 for the lowest one): 2.987 eV per atom
Energy relative to the elements: 2.993 eV/atom
Total energy: -8.280 eV/atom

Entry 14:
Material: BMoW
Method: DFT, PBE-GGA
State: relaxed

Cell lengths 5.573, 4.629, 4.597 Å; angles 74.32, 53.10, 52.58 degrees
Sites, in units of the cell vectors:
1 B 0.250 0.250 0.250
2 B 0.750 0.750 0.750
3 W 0.169 0.169 0.831
4 W 0.831 0.831 0.169
5 Mo 0.670 0.330 0.670
6 Mo 0.330 0.670 0.330

Output
Magnetization: 0.0 μB per formula unit
Polymorph energy (0 for the lowest one): 0.000 eV per atom
Energy relative to the elements: -0.303 eV/atom
Total energy: -10.457 eV/atom

Entry 15:
Material: BMoW3
Method: DFT, PBE-GGA
State: relaxed

Cell lengths 3.124, 7.512, 6.820 Å; angles 117.43, 90.00, 90.00 degrees
Sites, in units of the cell vectors:
1 Mo 0.695 0.083 0.560
2 Mo 0.196 0.339 0.994
3 B 0.695 0.658 0.698
4 B 0.195 0.764 0.857
5 W 0.695 0.688 0.077
6 W 0.695 0.384 0.327
7 W 0.195 0.733 0.477
8 W 0.195 0.037 0.227
9 W 0.695 0.999 0.887
10 W 0.195 0.422 0.667

Output
Magnetization: 0.0 μB per formula unit
Polymorph energy (0 for the lowest one): 0.000 eV per atom
Energy relative to the elements: 0.006 eV/atom
Total energy: -11.268 eV/atom

Entry 16:
Material: BMo2W
Method: DFT, PBE-GGA
State: relaxed

Cell lengths 7.191, 7.191, 5.565 Å; angles 49.75, 49.75, 90.00 degrees
Sites, in units of the cell vectors:
1 W 0.750 0.250 0.500
2 W 0.000 0.000 0.000
3 Mo 0.526 0.125 0.250
4 Mo 0.375 0.474 0.750
5 Mo 0.224 0.625 0.250
6 Mo 0.875 0.776 0.750
7 B 0.500 0.500 0.000
8 B 0.250 0.750 0.500

Output
Magnetization: 0.0 μB per formula unit
Energy relative to the elements: 0.319 eV/atom
Total energy: -10.004 eV/atom

Entry 17:
Material: BMoW3
Method: DFT, PBE-GGA
State: relaxed

Cell lengths 4.207, 4.207, 4.207 Å; angles 90.00, 90.00, 90.00 degrees
Sites, in units of the cell vectors:
1 W 0.000 0.000 0.500
2 W 0.000 0.500 0.000
3 W 0.500 0.000 0.000
4 B 0.000 0.000 0.000
5 Mo 0.500 0.500 0.500

Output
Magnetization: 0.0 μB per formula unit
Polymorph energy (0 for the lowest one): 0.309 eV per atom
Energy relative to the elements: 0.315 eV/atom
Total energy: -10.959 eV/atom

Entry 18:
Material: B4Mo3W
Method: DFT, PBE-GGA
State: relaxed

Cell lengths 3.085, 4.810, 6.704 Å; angles 111.05, 103.30, 90.00 degrees
Sites, in units of the cell vectors:
1 Mo 0.000 0.500 0.000
2 Mo 0.810 0.810 0.620
3 Mo 0.190 0.190 0.380
4 B 0.634 0.809 0.268
5 B 0.366 0.191 0.732
6 B 0.366 0.541 0.732
7 B 0.634 0.459 0.268
8 W 0.500 0.000 0.000

Output
Magnetization: 0.0 μB per formula unit
Energy relative to the elements: -0.234 eV/atom
Total energy: -9.253 eV/atom

Entry 19:
Material: B2MoW
Method: DFT, PBE-GGA
State: relaxed

Cell lengths 4.841, 4.841, 5.940 Å; angles 65.95, 65.95, 90.00 degrees
Sites, in units of the cell vectors:
1 Mo 0.500 0.500 0.000
2 Mo 0.250 0.750 0.500
3 W 0.000 0.000 0.000
4 W 0.750 0.250 0.500
5 B 0.624 0.125 0.250
6 B 0.875 0.874 0.750
7 B 0.126 0.625 0.250
8 B 0.375 0.376 0.750

Output
Magnetization: 0.0 μB per formula unit
Polymorph energy (0 for the lowest one): 1.283 eV per atom
Energy relative to the elements: 0.865 eV/atom
Total energy: -8.420 eV/atom

Entry 20:
Material: BMo2W
Method: DFT, PBE-GGA
State: relaxed

Cell lengths 3.062, 5.588, 6.547 Å; angles 100.70, 90.00, 90.00 degrees
Sites, in units of the cell vectors:
1 W 0.250 0.919 0.174
2 W 0.750 0.081 0.826
3 Mo 0.750 0.261 0.464
4 Mo 0.250 0.739 0.536
5 Mo 0.750 0.625 0.885
6 Mo 0.250 0.375 0.115
7 B 0.750 0.642 0.273
8 B 0.250 0.358 0.727

Output
Magnetization: 0.0 μB per formula unit
Energy relative to the elements: 0.015 eV/atom
Total energy: -10.308 eV/atom

Entry 21:
Material: BMo3W
Method: DFT, PBE-GGA
State: relaxed

Cell lengths 4.195, 4.195, 4.195 Å; angles 90.00, 90.00, 90.00 degrees
Sites, in units of the cell vectors:
1 Mo 0.500 0.000 0.000
2 Mo 0.000 0.500 0.000
3 Mo 0.000 0.000 0.500
4 W 0.500 0.500 0.500
5 B 0.000 0.000 0.000

Output
Magnetization: 0.0 μB per formula unit
Polymorph energy (0 for the lowest one): 0.000 eV per atom
Energy relative to the elements: 0.287 eV/atom
Total energy: -10.137 eV/atom

Entry 22:
Material: B2MoW
Method: DFT, PBE-GGA
State: relaxed

Cell lengths 2.718, 4.181, 4.181 Å; angles 105.21, 90.00, 90.00 degrees
Sites, in units of the cell vectors:
1 B 0.500 0.134 0.531
2 B 0.500 0.469 0.866
3 Mo 0.500 0.608 0.392
4 W 0.000 0.004 0.996

Output
Magnetization: 0.0 μB per formula unit
Polymorph energy (0 for the lowest one): 0.586 eV per atom
Energy relative to the elements: 0.168 eV/atom
Total energy: -9.117 eV/atom

Entry 23:
Material: B4Mo3W3
Method: DFT, PBE-GGA
State: relaxed

Cell lengths 3.164, 6.065, 6.065 Å; angles 89.96, 90.00, 90.00 degrees
Sites, in units of the cell vectors:
1 W 0.000 0.000 0.500
2 W 0.000 0.500 0.000
3 W 0.500 0.172 0.828
4 Mo 0.500 0.671 0.671
5 Mo 0.500 0.829 0.171
6 Mo 0.500 0.329 0.329
7 B 0.000 0.885 0.884
8 B 0.000 0.116 0.115
9 B 0.000 0.383 0.617
10 B 0.000 0.615 0.385

Output
Magnetization: 0.0 μB per formula unit
Energy relative to the elements: -0.329 eV/atom
Total energy: -10.136 eV/atom

Entry 24:
Material: BMoW2
Method: DFT, PBE-GGA
State: relaxed

Cell lengths 3.145, 4.922, 7.362 Å; angles 90.00, 90.00, 108.63 degrees
Sites, in units of the cell vectors:
1 W 0.356 0.712 0.943
2 W 0.644 0.288 0.057
3 W 0.356 0.712 0.557
4 W 0.644 0.288 0.443
5 Mo 0.939 0.879 0.250
6 Mo 0.061 0.121 0.750
7 B 0.245 0.492 0.250
8 B 0.755 0.508 0.750

Output
Magnetization: 0.0 μB per formula unit
Energy relative to the elements: -0.165 eV/atom
Total energy: -11.019 eV/atom

Entry 25:
Material: B2Mo2W
Method: DFT, PBE-GGA
State: relaxed

Cell lengths 4.671, 4.822, 6.348 Å; angles 112.32, 90.00, 90.00 degrees
Sites, in units of the cell vectors:
1 Mo 0.750 0.783 0.567
2 Mo 0.750 0.412 0.824
3 Mo 0.250 0.217 0.433
4 Mo 0.250 0.588 0.176
5 B 0.250 0.574 0.784
6 B 0.250 0.210 0.784
7 B 0.750 0.426 0.216
8 B 0.750 0.790 0.216
9 W 0.000 0.000 0.000
10 W 0.500 0.000 0.000

Output
Magnetization: 0.0 μB per formula unit
Polymorph energy (0 for the lowest one): 0.754 eV per atom
Energy relative to the elements: 0.405 eV/atom
Total energy: -9.189 eV/atom